[1]
Compound: La2RuF
Source: Alexandria
Functional: GGA-PBE
Structure: optimized geometry

spin magnetization	0.00	μB/atom
crystal system	trigonal
formation energy without anion corrections	-5.35	eV/f.u.
space group	R3m (160)
DFT total energy	-26.3	eV/f.u.
energy relative to the lowest polymorph listed for this composition	0.083	eV/atom

Geometry as extended XYZ:
```
4
Lattice="2.027 1.170 7.832 -2.027 1.170 7.832 0.000 -2.340 7.832" Properties=species:S:1:pos:R:3 pbc="T T T"
La 0.000 0.000 0.000
La 0.000 0.000 4.589
Ru 0.000 0.000 14.232
F 0.000 0.000 19.085
```

=====

[2]
Compound: LaRuF
Source: Alexandria
Functional: GGA-PBE
Structure: optimized geometry

spin magnetization	0.00	μB/atom
crystal system	tetragonal
formation energy without anion corrections	-4.84	eV/f.u.
space group	P4/nmm (129)
DFT total energy	-20.9	eV/f.u.

Geometry as extended XYZ:
```
6
Lattice="3.541 0.000 0.000 0.000 3.541 0.000 0.000 0.000 8.638" Properties=species:S:1:pos:R:3 pbc="T T T"
La 0.885 0.885 1.898
La 2.656 2.656 6.740
Ru 0.885 0.885 4.649
Ru 2.656 2.656 3.989
F 0.885 0.885 7.889
F 2.656 2.656 0.749
```

=====

[3]
Compound: La2RuF2
Source: Alexandria
Functional: GGA-PBE
Structure: optimized geometry

spin magnetization	0.00	μB/atom
crystal system	tetragonal
formation energy without anion corrections	-9.06	eV/f.u.
space group	P4/mbm (127)
DFT total energy	-31.9	eV/f.u.
energy relative to the lowest polymorph listed for this composition	0.000	eV/atom

Geometry as extended XYZ:
```
10
Lattice="7.451 0.000 0.000 0.000 7.451 0.000 0.000 0.000 3.219" Properties=species:S:1:pos:R:3 pbc="T T T"
La 1.468 2.258 0.000
La 2.258 5.984 0.000
La 5.193 1.468 0.000
La 5.984 5.193 0.000
Ru 0.000 0.000 1.609
Ru 3.726 3.726 1.609
F 0.828 4.553 1.609
F 2.898 0.828 1.609
F 4.553 6.624 1.609
F 6.624 2.898 1.609
```